This record from Alexandria describes a relaxed structure of RbIn4Au. The functional is GGA-PBE.

```
data_RbIn4Au
_space_group_name_H-M_alt 'C m c m'
_space_group_IT_number 63
_space_group_name_Hall '-C 2c 2'
_cell_length_a 4.786
_cell_length_b 18.050
_cell_length_c 7.866
_cell_angle_alpha 90.00
_cell_angle_beta 90.00
_cell_angle_gamma 90.00
loop_
_atom_site_label
_atom_site_fract_x
_atom_site_fract_y
_atom_site_fract_z
Rb1 0.000 0.124 0.250
In1 0.000 0.068 0.750
In2 0.000 0.317 0.052
In3 0.000 0.500 0.000
Au1 0.000 0.224 0.750
```

Results
E = -64.39 eV/cell
Total magnetic moment = 0.00 μB per cell
Formation enthalpy at 0 K = -0.1496 eV/atom
Energy relative to the lowest polymorph listed for this composition = 8 meV/atom
N(E_F) = 10.9 states/eV per cell

=====

This record from Alexandria describes a relaxed structure of Ta4TiRe. The functional is GGA-PBE.

```
data_Ta4TiRe
_space_group_name_H-M_alt 'C 1 2/m 1'
_space_group_IT_number 12
_space_group_name_Hall '-C 2y'
_cell_length_a 7.634
_cell_length_b 4.393
_cell_length_c 7.642
_cell_angle_alpha 90.00
_cell_angle_beta 109.63
_cell_angle_gamma 90.00
loop_
_atom_site_label
_atom_site_fract_x
_atom_site_fract_y
_atom_site_fract_z
Ta1 0.125 0.000 0.375
Ta2 0.126 0.500 0.877
Ti1 0.000 0.000 0.000
Re1 0.000 0.500 0.500
```

Results
E = -127.90 eV/cell
Total magnetic moment = 0.00 μB per cell
Formation enthalpy at 0 K = 0.6341 eV/atom
Energy relative to the lowest polymorph listed for this composition = 751 meV/atom
N(E_F) = 12.8 states/eV per cell

=====

This record from Alexandria describes a relaxed structure of Ca4Pd7Au6. The functional is GGA-PBE.

```
data_Ca4Pd7Au6
_space_group_name_H-M_alt 'I m -3 m'
_space_group_IT_number 229
_space_group_name_Hall '-I 4 2 3'
_cell_length_a 8.729
_cell_length_b 8.729
_cell_length_c 8.729
_cell_angle_alpha 90.00
_cell_angle_beta 90.00
_cell_angle_gamma 90.00
loop_
_atom_site_label
_atom_site_fract_x
_atom_site_fract_y
_atom_site_fract_z
Ca1 0.250 0.250 0.250
Pd1 0.000 0.000 0.000
Pd2 0.000 0.250 0.500
Au1 0.000 0.000 0.303
```

Results
E = -146.89 eV/cell
Total magnetic moment = 0.00 μB per cell
Formation enthalpy at 0 K = -0.5545 eV/atom
N(E_F) = 14.5 states/eV per cell